# Pm7In2Pt2

Crystalline Pm7In2Pt2 at its relaxed geometry (PBE, Alexandria).

Summary:
- crystal system = orthorhombic
- formation energy (eV/atom) = -0.52
- spin magnetization (μB/f.u.) = 0.00
- V (A^3/atom) = 31.4

abc: 8.416 11.351 7.227
angles: 90.00 90.00 90.00
Space group Cmmm (No. 65)
Asymmetric unit:
1 Pm 0.000 0.000 0.000 [2 per cell]
2 Pm 0.000 0.500 0.249 [4 per cell]
3 Pm 0.250 0.250 0.255 [8 per cell]
4 In 0.170 0.000 0.500 [4 per cell]
5 Pt 0.000 0.290 0.000 [4 per cell]